Entry 1:
Below is a relaxed structure of GeMoW, with properties calculated at the PBE-GGA level.

CIF file:
```
data_GeMoW
_space_group_name_H-M_alt 'C 1 m 1'
_space_group_IT_number 8
_space_group_name_Hall 'C -2y'
_cell_length_a 4.593
_cell_length_b 4.586
_cell_length_c 4.955
_cell_angle_alpha 90.00
_cell_angle_beta 116.77
_cell_angle_gamma 90.00
loop_
_atom_site_label
_atom_site_type_symbol
_atom_site_fract_x
_atom_site_fract_y
_atom_site_fract_z
Ge1 Ge 0.000 0.000 0.000
Mo1 Mo 0.325 0.000 0.666
W1 W 0.175 0.500 0.336
```

Calculated values
For the energy above the lowest structure with this stoichiometry, the calculation gives 0.007 eV/atom.

Entry 2:
Below is a relaxed structure of Zn2GeMoW, with properties calculated at the PBE-GGA level.

CIF file:
```
data_Zn2GeMoW
_space_group_name_H-M_alt 'P 4/m m m'
_space_group_IT_number 123
_space_group_name_Hall '-P 4 2'
_cell_length_a 4.922
_cell_length_b 4.922
_cell_length_c 4.639
_cell_angle_alpha 90.00
_cell_angle_beta 90.00
_cell_angle_gamma 90.00
loop_
_atom_site_label
_atom_site_type_symbol
_atom_site_fract_x
_atom_site_fract_y
_atom_site_fract_z
Zn1 Zn 0.000 0.500 0.000
Ge1 Ge 0.000 0.000 0.500
Mo1 Mo 0.500 0.500 0.000
W1 W 0.500 0.500 0.500
```

Calculated values
Its total energy is -4.742 eV/atom.

Entry 3:
Below is a relaxed structure of YGe3Mo, with properties calculated at the PBE-GGA level.

CIF file:
```
data_YGe3Mo
_space_group_name_H-M_alt 'P m -3 m'
_space_group_IT_number 221
_space_group_name_Hall '-P 4 2 3'
_cell_length_a 5.192
_cell_length_b 5.192
_cell_length_c 5.192
_cell_angle_alpha 90.00
_cell_angle_beta 90.00
_cell_angle_gamma 90.00
loop_
_atom_site_label
_atom_site_type_symbol
_atom_site_fract_x
_atom_site_fract_y
_atom_site_fract_z
Y1 Y 0.000 0.000 0.000
Ge1 Ge 0.000 0.000 0.500
Mo1 Mo 0.500 0.500 0.500
```

Calculated values
For the energy above the lowest structure with this stoichiometry, the calculation gives 1.544 eV/atom.

Entry 4:
Below is a relaxed structure of YGe2Mo2, with properties calculated at the PBE-GGA level.

CIF file:
```
data_YGe2Mo2
_space_group_name_H-M_alt 'I 4/m m m'
_space_group_IT_number 139
_space_group_name_Hall '-I 4 2'
_cell_length_a 4.703
_cell_length_b 4.703
_cell_length_c 8.962
_cell_angle_alpha 90.00
_cell_angle_beta 90.00
_cell_angle_gamma 90.00
loop_
_atom_site_label
_atom_site_type_symbol
_atom_site_fract_x
_atom_site_fract_y
_atom_site_fract_z
Y1 Y 0.000 0.000 0.000
Ge1 Ge 0.000 0.500 0.250
Mo1 Mo 0.000 0.000 0.375
```

Calculated values
For the energy above the lowest structure with this stoichiometry, the calculation gives 0.225 eV/atom.

Entry 5:
Below is a relaxed structure of Y2Ge2Mo, with properties calculated at the PBE-GGA level.

CIF file:
```
data_Y2Ge2Mo
_space_group_name_H-M_alt 'P 4/m b m'
_space_group_IT_number 127
_space_group_name_Hall '-P 4 2ab'
_cell_length_a 7.060
_cell_length_b 7.060
_cell_length_c 4.196
_cell_angle_alpha 90.00
_cell_angle_beta 90.00
_cell_angle_gamma 90.00
loop_
_atom_site_label
_atom_site_type_symbol
_atom_site_fract_x
_atom_site_fract_y
_atom_site_fract_z
Y1 Y 0.177 0.323 0.000
Ge1 Ge 0.132 0.632 0.500
Mo1 Mo 0.000 0.000 0.500
```

Calculated values
Its total energy is -7.164 eV/atom.

Entry 6:
Below is a relaxed structure of YGeMo, with properties calculated at the PBE-GGA level.

CIF file:
```
data_YGeMo
_space_group_name_H-M_alt 'P 4/n m m'
_space_group_IT_number 129
_cell_length_a 3.937
_cell_length_b 3.937
_cell_length_c 7.761
_cell_angle_alpha 90.00
_cell_angle_beta 90.00
_cell_angle_gamma 90.00
loop_
_space_group_symop_operation_xyz
'x,y,z'
'-x,-y,-z'
'-y+1/2,x,z'
'y+1/2,-x,-z'
'-x+1/2,-y+1/2,z'
'x+1/2,y+1/2,-z'
'y,-x+1/2,z'
'-y,x+1/2,-z'
'x+1/2,-y,-z'
'-x+1/2,y,z'
'-y,-x,-z'
'y,x,z'
'-x,y+1/2,-z'
'x,-y+1/2,z'
'y+1/2,x+1/2,-z'
'-y+1/2,-x+1/2,z'
loop_
_atom_site_label
_atom_site_type_symbol
_atom_site_fract_x
_atom_site_fract_y
_atom_site_fract_z
Y1 Y 0.250 0.250 0.146
Ge1 Ge 0.250 0.250 0.739
Mo1 Mo 0.250 0.750 0.500
```

Calculated values
Its total energy is -7.813 eV/atom.

These records have DOS at the Fermi energy values of 3.62 4.73 8.35 7.70 7.50 5.32 states/eV/cell, in the order they appear.